The following is a PBE calculation of an optimized crystal structure of CeB2, from Alexandria via LeMat-Bulk.

Formation enthalpy at 0 K   0.644 eV per atom

a = 2.812 Å, b = 2.812 Å, c = 5.173 Å
α = 105.77°, β = 105.77°, γ = 90.00°
Atoms (fractional coordinates):
Ce 0.000 0.000 0.000
B 0.722 0.722 0.443
B 0.278 0.278 0.557